No. 1
Material: Tl5V2Cl12
Method: DFT, PBE
State: relaxed

```
Tl5V2Cl12
1.0
0.634 6.627 -4.227
-8.638 3.117 5.264
5.668 5.085 3.490
Tl V Cl
5 2 12
Direct
0.004 0.276 0.464
0.650 0.536 0.223
0.500 0.000 0.000
0.350 0.464 0.777
0.996 0.724 0.536
0.940 0.864 0.128
0.060 0.136 0.872
0.834 0.080 0.139
0.294 0.169 0.626
0.066 0.668 0.099
0.875 0.043 0.721
0.760 0.772 0.963
0.739 0.491 0.525
0.261 0.509 0.475
0.125 0.957 0.279
0.240 0.228 0.037
0.706 0.831 0.374
0.934 0.332 0.901
0.166 0.920 0.861
```

The total energy comes out at -3.848 eV per atom. The calculation puts the formation energy (no corrections) at -1.0996 eV per atom.

No. 2
Material: V2NiIr
Method: DFT, PBE
State: relaxed

```
V2NiIr
1.0
-2.228 0.108 1.469
0.990 -1.863 1.638
3.003 5.258 4.167
Ni Ir V
1 1 2
Direct
0.500 0.500 0.000
0.500 0.500 0.500
0.000 0.000 0.755
0.000 0.000 0.245
```

The total energy comes out at -8.515 eV per atom. The calculation puts the energy relative to the elements at -0.295 eV/atom.

No. 3
Material: Pm6TcSn2
Method: DFT, PBE
State: relaxed

```
Pm6TcSn2
1.0
-1.570 0.702 4.109
-2.221 -7.978 0.515
7.554 2.372 2.480
Pm Tc Sn
6 1 2
Direct
0.500 0.592 0.000
0.500 0.408 0.408
0.500 0.000 0.592
0.000 0.237 0.000
0.000 0.763 0.763
0.000 0.000 0.237
0.500 0.000 0.000
0.000 0.333 0.667
0.000 0.667 0.333
```

The total energy comes out at -5.611 eV per atom. The calculation puts the energy relative to the elements at -0.403 eV/atom.

No. 4
Material: Ni2MoPb
Method: DFT, PBE
State: relaxed

```
Ni2MoPb
1.0
4.148 0.000 0.000
0.000 2.891 0.101
0.000 1.258 5.183
Mo Ni Pb
1 2 1
Direct
0.500 0.778 0.815
0.000 0.200 0.977
0.500 0.061 0.252
0.000 0.460 0.456
```

The total energy comes out at -6.135 eV per atom. The calculation puts the energy relative to the elements at 0.390 eV/atom.

No. 5
Material: AgIrCl2
Method: DFT, PBE
State: relaxed

```
AgIrCl2
1.0
0.000 3.314 3.314
3.314 0.000 3.314
3.314 3.314 0.000
Ir Ag Cl
1 1 2
Direct
0.500 0.500 0.500
0.000 0.000 0.000
0.250 0.250 0.250
0.750 0.750 0.750
```

The total energy comes out at -3.116 eV per atom. The distance to the lowest polymorph of the same formula is 701 meV per atom. The calculation puts the formation energy (no corrections) at 0.7358 eV per atom.

No. 6
Material: Dy2SnAu2
Method: DFT, PBE
State: relaxed

```
Dy2SnAu2
1.0
7.956 0.000 0.000
0.000 7.956 0.000
0.000 0.000 7.469
Dy Sn Au
8 4 8
Direct
0.841 0.159 0.500
0.159 0.841 0.500
0.341 0.341 0.000
0.659 0.659 0.000
0.681 0.681 0.500
0.319 0.319 0.500
0.181 0.819 0.000
0.819 0.181 0.000
0.500 0.000 0.250
0.000 0.500 0.750
0.500 0.000 0.750
0.000 0.500 0.250
0.628 0.372 0.274
0.372 0.628 0.274
0.128 0.128 0.774
0.872 0.872 0.774
0.372 0.628 0.726
0.628 0.372 0.726
0.872 0.872 0.226
0.128 0.128 0.226
```

The total energy comes out at -4.803 eV per atom. The calculation puts the energy relative to the elements at -0.850 eV/atom.

No. 7
Material: AcPr3DyEr
Method: DFT, PBE
State: relaxed

```
AcPr3DyEr
1.0
-4.355 2.796 0.895
-3.851 -4.064 -6.043
-0.765 -4.434 10.121
Ac Pr Dy Er
2 6 2 2
Direct
0.750 0.880 0.708
0.250 0.120 0.292
0.250 0.626 0.453
0.750 0.865 0.040
0.750 0.381 0.206
0.750 0.374 0.547
0.250 0.619 0.794
0.250 0.135 0.960
0.250 0.131 0.628
0.750 0.869 0.372
0.250 0.619 0.122
0.750 0.381 0.878
```

The total energy comes out at -4.563 eV per atom. The calculation puts the energy relative to the elements at 0.039 eV/atom.

No. 8
Material: BeNb3H3
Method: DFT, PBE
State: relaxed

```
BeNb3H3
1.0
5.355 0.000 0.000
0.000 5.355 0.000
0.000 0.000 5.355
Be Nb H
2 6 6
Direct
0.500 0.500 0.500
0.000 0.000 0.000
0.000 0.250 0.500
0.000 0.750 0.500
0.500 0.000 0.750
0.750 0.500 0.000
0.500 0.000 0.250
0.250 0.500 0.000
0.250 0.000 0.500
0.000 0.500 0.250
0.500 0.750 0.000
0.750 0.000 0.500
0.000 0.500 0.750
0.500 0.250 0.000
```

The total energy comes out at -6.346 eV per atom.

No. 9
Material: AlZnAs2Br
Method: DFT, PBE
State: relaxed

```
AlZnAs2Br
1.0
4.953 0.000 0.000
0.000 4.953 0.000
0.000 0.000 5.066
As Zn Br Al
2 1 1 1
Direct
0.000 0.500 0.000
0.500 0.000 0.000
0.500 0.500 0.500
0.000 0.000 0.500
0.000 0.000 0.000
```

The total energy comes out at -2.786 eV per atom. The distance to the lowest polymorph of the same formula is 0 meV per atom. The calculation puts the formation energy (no corrections) at 0.4114 eV per atom.

No. 10
Material: LaYAs2
Method: DFT, PBE
State: relaxed

```
LaYAs2
1.0
-2.306 1.592 4.512
3.180 -3.112 2.900
1.330 3.982 -3.253
Y As La
1 2 1
Direct
0.250 0.750 0.500
0.007 0.007 0.000
0.493 0.493 0.000
0.750 0.250 0.500
```

The total energy comes out at -6.356 eV per atom. The distance to the lowest polymorph of the same formula is 373 meV per atom. The calculation puts the energy relative to the elements at -1.183 eV/atom.

No. 11
Material: Tb2PmPaS4
Method: DFT, PBE
State: relaxed

```
Tb2PmPaS4
1.0
3.912 0.000 0.000
0.000 6.823 0.137
0.000 -2.365 6.441
Tb Pm Pa S
2 1 1 4
Direct
0.500 0.000 0.500
0.000 0.500 0.500
0.000 0.000 0.000
0.500 0.500 0.000
0.500 0.257 0.256
0.500 0.743 0.744
0.000 0.253 0.746
0.000 0.747 0.254
```

The total energy comes out at -6.895 eV per atom. The calculation puts the formation energy (no corrections) at -1.8934 eV per atom.

No. 12
Material: CoRhAu3
Method: DFT, PBE
State: relaxed

```
CoRhAu3
1.0
4.984 0.000 0.000
0.000 4.984 0.000
0.000 0.000 4.984
Rh Au Co
1 3 1
Direct
0.000 0.000 0.000
0.000 0.500 0.000
0.000 0.000 0.500
0.500 0.000 0.000
0.500 0.500 0.500
```

The total energy comes out at -3.451 eV per atom. The distance to the lowest polymorph of the same formula is 295 meV per atom. The calculation puts the energy relative to the elements at 1.406 eV/atom.

No. 13
Material: KLiCo
Method: DFT, PBE
State: relaxed

```
KLiCo
1.0
3.501 -0.305 0.012
0.334 3.507 0.003
0.869 0.761 12.350
K Li Co
2 2 2
Direct
0.549 0.887 0.513
0.106 0.476 0.178
0.217 0.043 0.904
0.715 0.543 0.904
0.758 0.085 0.747
0.249 0.576 0.748
```

The total energy comes out at -2.984 eV per atom. The distance to the lowest polymorph of the same formula is 16 meV per atom. The calculation puts the energy relative to the elements at 0.388 eV/atom.

No. 14
Material: AcPaRu2
Method: DFT, PBE
State: relaxed

```
AcPaRu2
1.0
-4.089 -2.372 -1.693
-3.365 -1.831 3.247
-4.513 2.161 0.425
Ru Ac Pa
2 1 1
Direct
0.250 0.250 0.250
0.750 0.750 0.750
0.500 0.500 0.500
0.000 0.000 0.000
```

The total energy comes out at -8.057 eV per atom. The distance to the lowest polymorph of the same formula is 426 meV per atom. The calculation puts the energy relative to the elements at -0.018 eV/atom.

No. 15
Material: Pm5Sm4Cd
Method: DFT, PBE
State: relaxed

```
Pm5Sm4Cd
1.0
3.662 0.000 0.000
0.000 3.662 0.000
0.000 0.000 24.572
Pm Sm Cd
5 4 1
Direct
0.500 0.500 0.085
0.500 0.500 0.292
0.500 0.500 0.500
0.500 0.500 0.708
0.500 0.500 0.915
0.000 0.000 0.188
0.000 0.000 0.396
0.000 0.000 0.604
0.000 0.000 0.812
0.000 0.000 0.000
```

The total energy comes out at -4.406 eV per atom. The calculation puts the energy relative to the elements at -0.052 eV/atom.

No. 16
Material: RbIn2
Method: DFT, PBE
State: relaxed

```
RbIn2
1.0
5.029 0.000 0.000
0.000 5.029 0.000
0.000 0.000 8.967
Rb In
2 4
Direct
0.250 0.250 0.659
0.750 0.750 0.341
0.750 0.250 0.000
0.250 0.750 0.000
0.250 0.250 0.203
0.750 0.750 0.797
```

The total energy comes out at -2.250 eV per atom. The distance to the lowest polymorph of the same formula is 0 meV per atom. The calculation puts the energy relative to the elements at -0.102 eV/atom.